VASP calculation (GGA-PBEsol) on crystalline LiLaPb2 at its relaxed geometry.

Computed properties:
Space group: C2/m (12)
Uncorrected energy in eV/cell: -17.0

Geometry as CIF:
```
data_LiLaPb2
_chemical_formula_sum 'Li1 La1 Pb2'
_cell_length_a 4.498
_cell_length_b 4.999
_cell_length_c 5.853
_cell_angle_alpha 109.03
_cell_angle_beta 90.00
_cell_angle_gamma 116.74
_symmetry_space_group_name_H-M 'P 1'
_symmetry_Int_Tables_number 1
loop_
_symmetry_equiv_pos_as_xyz
'x,y,z'
loop_
_atom_site_label
_atom_site_fract_x
_atom_site_fract_y
_atom_site_fract_z
Pb1 0.736 0.473 0.679
Pb2 0.264 0.527 0.321
La1 0.500 0.000 0.000
Li1 0.000 0.000 0.500
```

VASP calculation (GGA-PBEsol) on crystalline ScInHg at its relaxed geometry.

Computed properties:
Space group: F-43m (216)
Distance to the lowest polymorph of the same formula in meV/atom: 330
Uncorrected energy in eV/cell: -10.4

Geometry as CIF:
```
data_ScInHg
_chemical_formula_sum 'Sc1 In1 Hg1'
_cell_length_a 4.720
_cell_length_b 4.720
_cell_length_c 4.720
_cell_angle_alpha 60.00
_cell_angle_beta 60.00
_cell_angle_gamma 60.00
_symmetry_space_group_name_H-M 'P 1'
_symmetry_Int_Tables_number 1
loop_
_symmetry_equiv_pos_as_xyz
'x,y,z'
loop_
_atom_site_label
_atom_site_fract_x
_atom_site_fract_y
_atom_site_fract_z
Hg1 0.000 0.000 0.000
In1 0.500 0.500 0.500
Sc1 0.250 0.250 0.250
```

VASP calculation (GGA-PBEsol) on crystalline YNiSe at its relaxed geometry.

Computed properties:
Space group: F-43m (216)
E_form (uncorrected) in kJ per mole of atoms: -49.0
Distance to the lowest polymorph of the same formula in meV/atom: 627
Uncorrected energy in eV/cell: -18.4

Geometry as CIF:
```
data_YNiSe
_chemical_formula_sum 'Y1 Ni1 Se1'
_cell_length_a 4.385
_cell_length_b 4.385
_cell_length_c 4.385
_cell_angle_alpha 60.00
_cell_angle_beta 60.00
_cell_angle_gamma 60.00
_symmetry_space_group_name_H-M 'P 1'
_symmetry_Int_Tables_number 1
loop_
_symmetry_equiv_pos_as_xyz
'x,y,z'
loop_
_atom_site_label
_atom_site_fract_x
_atom_site_fract_y
_atom_site_fract_z
Ni1 0.500 0.500 0.500
Se1 0.250 0.250 0.250
Y1 0.000 0.000 0.000
```

VASP calculation (GGA-PBEsol) on crystalline MnH2S2O8 at its relaxed geometry.

Computed properties:
Space group: P2_1/c (14)
Uncorrected energy in eV/cell: -168.2

Geometry as CIF:
```
data_MnH2S2O8
_chemical_formula_sum 'Mn2 H4 S4 O16'
_cell_length_a 5.058
_cell_length_b 7.588
_cell_length_c 8.254
_cell_angle_alpha 90.00
_cell_angle_beta 90.00
_cell_angle_gamma 99.08
_symmetry_space_group_name_H-M 'P 1'
_symmetry_Int_Tables_number 1
loop_
_symmetry_equiv_pos_as_xyz
'x,y,z'
loop_
_atom_site_label
_atom_site_fract_x
_atom_site_fract_y
_atom_site_fract_z
Mn1 0.500 0.500 0.000
Mn2 0.000 0.000 0.500
H1 0.721 0.170 0.019
H2 0.779 0.330 0.519
H3 0.279 0.830 0.981
H4 0.221 0.670 0.481
S1 0.948 0.287 0.818
S2 0.552 0.213 0.318
S3 0.052 0.713 0.182
S4 0.448 0.787 0.682
O1 0.803 0.126 0.916
O2 0.697 0.374 0.416
O3 0.303 0.626 0.584
O4 0.197 0.874 0.084
O5 0.313 0.941 0.654
O6 0.187 0.559 0.154
O7 0.687 0.059 0.346
O8 0.813 0.441 0.846
O9 0.730 0.818 0.636
O10 0.770 0.682 0.136
O11 0.270 0.182 0.364
O12 0.230 0.318 0.864
O13 0.418 0.727 0.853
O14 0.082 0.773 0.353
O15 0.582 0.273 0.147
O16 0.918 0.227 0.647
```

VASP calculation (GGA-PBEsol) on crystalline Al7Ag at its relaxed geometry.

Computed properties:
Space group: R-3m (166)
Distance to the lowest polymorph of the same formula in meV/atom: 0
Uncorrected energy in eV/cell: -32.1

Geometry as CIF:
```
data_Al7Ag
_chemical_formula_sum 'Al7 Ag1'
_cell_length_a 2.874
_cell_length_b 2.874
_cell_length_c 18.196
_cell_angle_alpha 85.47
_cell_angle_beta 85.47
_cell_angle_gamma 60.00
_symmetry_space_group_name_H-M 'P 1'
_symmetry_Int_Tables_number 1
loop_
_symmetry_equiv_pos_as_xyz
'x,y,z'
loop_
_atom_site_label
_atom_site_fract_x
_atom_site_fract_y
_atom_site_fract_z
Al1 0.374 0.374 0.877
Al2 0.749 0.749 0.752
Al3 0.125 0.125 0.626
Al4 0.500 0.500 0.500
Al5 0.875 0.875 0.374
Al6 0.251 0.251 0.248
Al7 0.626 0.626 0.123
Ag1 0.000 0.000 0.000
```

VASP calculation (GGA-PBEsol) on crystalline Zr2TlOs at its relaxed geometry.

Computed properties:
Space group: P4mm (99)
Distance to the lowest polymorph of the same formula in meV/atom: 323
Uncorrected energy in eV/cell: -33.0

Geometry as CIF:
```
data_Zr2TlOs
_chemical_formula_sum 'Zr2 Tl1 Os1'
_cell_length_a 3.320
_cell_length_b 3.320
_cell_length_c 7.139
_cell_angle_alpha 90.00
_cell_angle_beta 90.00
_cell_angle_gamma 90.00
_symmetry_space_group_name_H-M 'P 1'
_symmetry_Int_Tables_number 1
loop_
_symmetry_equiv_pos_as_xyz
'x,y,z'
loop_
_atom_site_label
_atom_site_fract_x
_atom_site_fract_y
_atom_site_fract_z
Os1 0.000 0.000 0.482
Tl1 0.500 0.500 0.727
Zr1 0.000 0.000 0.005
Zr2 0.500 0.500 0.287
```

DOS(E_F) in states/eV per cell, matching the order above: 1.970 2.563 4.520 0.000 2.876 3.076
Total magnetic moment in μB/atom, matching the order above: 0.000 0.000 0.002 0.385 0.000 0.000